A relaxed structure of BaCaY2, computed with GGA-PBEsol.

CIF file:
```
data_BaCaY2
_chemical_formula_sum 'Ba1 Ca1 Y2'
_space_group_name_H-M_alt 'P m m m'
_space_group_IT_number 47
_cell_length_a 4.0622
_cell_length_b 5.9984
_cell_length_c 6.0563
_cell_angle_alpha 90.00
_cell_angle_beta 90.00
_cell_angle_gamma 90.00
loop_
_space_group_symop_operation_xyz
'x,y,z'
'-x,-y,-z'
'-x,-y,z'
'x,y,-z'
'x,-y,-z'
'-x,y,z'
'-x,y,-z'
'x,-y,z'
loop_
_atom_site_label
_atom_site_fract_x
_atom_site_fract_y
_atom_site_fract_z
_atom_site_occupancy
Ba1 0.0000 0.0000 0.0000 1
Ca1 0.5000 0.5000 0.0000 1
Y1 0.0000 0.5000 0.5000 1
Y2 0.5000 0.0000 0.5000 1
```

Calculated values
The value obtained for the density is 4.00 g/cm³. For the spin magnetization, the calculation gives 0.00 Bohr magnetons per cell. The calculation puts the energy above the most stable polymorph in this dataset at 0 meV/atom. The formation energy comes out at 0.22 eV/atom. As for the density of states at the Fermi level: 5.83 states/eV/cell.


A relaxed structure of BaCaY2, computed with GGA-PBEsol.

CIF file:
```
data_BaCaY2
_chemical_formula_sum 'Ba1 Ca1 Y2'
_space_group_name_H-M_alt 'P 4/m m m'
_space_group_IT_number 123
_space_group_name_Hall '-P 4 2'
_cell_length_a 5.9504
_cell_length_b 5.9504
_cell_length_c 4.1656
_cell_angle_alpha 90.00
_cell_angle_beta 90.00
_cell_angle_gamma 90.00
loop_
_atom_site_label
_atom_site_fract_x
_atom_site_fract_y
_atom_site_fract_z
_atom_site_occupancy
Ba1 0.0000 0.0000 0.0000 1
Ca1 0.5000 0.5000 0.0000 1
Y1 0.0000 0.5000 0.5000 1
```

Calculated values
The value obtained for the density is 4.00 g/cm³. For the spin magnetization, the calculation gives 0.00 Bohr magnetons per cell. The calculation puts the energy above the most stable polymorph in this dataset at 64 meV/atom. The formation energy comes out at 0.29 eV/atom. As for the density of states at the Fermi level: 6.39 states/eV/cell.


A relaxed structure of BaCaZn2, computed with GGA-PBEsol.

CIF file:
```
data_BaCaZn2
_chemical_formula_sum 'Ba3 Ca3 Zn6'
_space_group_name_H-M_alt 'R 3 m'
_space_group_IT_number 160
_space_group_name_Hall 'R 3 -2"'
_cell_length_a 4.4301
_cell_length_b 4.4301
_cell_length_c 22.5273
_cell_angle_alpha 90.00
_cell_angle_beta 90.00
_cell_angle_gamma 120.00
loop_
_atom_site_label
_atom_site_fract_x
_atom_site_fract_y
_atom_site_fract_z
_atom_site_occupancy
Ba1 0.0000 0.0000 0.0000 1
Ca1 0.0000 0.0000 0.8225 1
Zn1 0.0000 0.0000 0.2327 1
Zn2 0.0000 0.0000 0.5657 1
```

Calculated values
The value obtained for the density is 4.01 g/cm³. For the spin magnetization, the calculation gives 0.00 Bohr magnetons per cell. The calculation puts the energy above the most stable polymorph in this dataset at 0 meV/atom. The formation energy comes out at -0.16 eV/atom. As for the density of states at the Fermi level: 9.98 states/eV/cell.


A relaxed structure of BaCa2Zn2, computed with GGA-PBEsol.

CIF file:
```
data_BaCa2Zn2
_chemical_formula_sum 'Ba2 Ca4 Zn4'
_space_group_name_H-M_alt 'P 4/m b m'
_space_group_IT_number 127
_space_group_name_Hall '-P 4 2ab'
_cell_length_a 8.2680
_cell_length_b 8.2680
_cell_length_c 4.4334
_cell_angle_alpha 90.00
_cell_angle_beta 90.00
_cell_angle_gamma 90.00
loop_
_atom_site_label
_atom_site_fract_x
_atom_site_fract_y
_atom_site_fract_z
_atom_site_occupancy
Ba1 0.0000 0.0000 0.0000 1
Ca1 0.1637 0.3363 0.5000 1
Zn1 0.1120 0.6120 0.0000 1
```

Calculated values
The value obtained for the density is 3.82 g/cm³. For the spin magnetization, the calculation gives 0.00 Bohr magnetons per cell. The calculation puts the energy above the most stable polymorph in this dataset at 0 meV/atom. The formation energy comes out at -0.11 eV/atom. As for the density of states at the Fermi level: 7.50 states/eV/cell.


A relaxed structure of BaCa2Zn2, computed with GGA-PBEsol.

CIF file:
```
data_BaCa2Zn2
_chemical_formula_sum 'Ba2 Ca4 Zn4'
_space_group_name_H-M_alt 'I 4/m m m'
_space_group_IT_number 139
_space_group_name_Hall '-I 4 2'
_cell_length_a 5.1798
_cell_length_b 5.1798
_cell_length_c 11.6977
_cell_angle_alpha 90.00
_cell_angle_beta 90.00
_cell_angle_gamma 90.00
loop_
_atom_site_label
_atom_site_fract_x
_atom_site_fract_y
_atom_site_fract_z
_atom_site_occupancy
Ba1 0.0000 0.0000 0.0000 1
Ca1 0.0000 0.5000 0.2500 1
Zn1 0.0000 0.0000 0.3970 1
```

Calculated values
The value obtained for the density is 3.69 g/cm³. For the spin magnetization, the calculation gives 0.00 Bohr magnetons per cell. The calculation puts the energy above the most stable polymorph in this dataset at 44 meV/atom. The formation energy comes out at -0.07 eV/atom. As for the density of states at the Fermi level: 9.11 states/eV/cell.


A relaxed structure of BaCaZn2, computed with GGA-PBEsol.

CIF file:
```
data_BaCaZn2
_chemical_formula_sum 'Ba4 Ca4 Zn8'
_space_group_name_H-M_alt 'F m -3 m'
_space_group_IT_number 225
_space_group_name_Hall '-F 4 2 3'
_cell_length_a 7.6426
_cell_length_b 7.6426
_cell_length_c 7.6426
_cell_angle_alpha 90.00
_cell_angle_beta 90.00
_cell_angle_gamma 90.00
loop_
_atom_site_label
_atom_site_fract_x
_atom_site_fract_y
_atom_site_fract_z
_atom_site_occupancy
Ba1 0.0000 0.0000 0.0000 1
Ca1 0.0000 0.0000 0.5000 1
Zn1 0.2500 0.2500 0.2500 1
```

Calculated values
The value obtained for the density is 4.59 g/cm³. For the spin magnetization, the calculation gives 0.00 Bohr magnetons per cell. The calculation puts the energy above the most stable polymorph in this dataset at 24 meV/atom. The formation energy comes out at -0.14 eV/atom. As for the density of states at the Fermi level: 12.48 states/eV/cell.


A relaxed structure of BaCaZn, computed with GGA-PBEsol.

CIF file:
```
data_BaCaZn
_chemical_formula_sum 'Ba2 Ca2 Zn2'
_space_group_name_H-M_alt 'I 4 m m'
_space_group_IT_number 107
_space_group_name_Hall 'I 4 -2'
_cell_length_a 3.8548
_cell_length_b 3.8548
_cell_length_c 13.7429
_cell_angle_alpha 90.00
_cell_angle_beta 90.00
_cell_angle_gamma 90.00
loop_
_atom_site_label
_atom_site_fract_x
_atom_site_fract_y
_atom_site_fract_z
_atom_site_occupancy
Ba1 0.0000 0.0000 0.0000 1
Ca1 0.0000 0.0000 0.2653 1
Zn1 0.0000 0.0000 0.6532 1
```

Calculated values
The value obtained for the density is 3.95 g/cm³. For the spin magnetization, the calculation gives 0.00 Bohr magnetons per cell. The formation energy comes out at -0.11 eV/atom. As for the density of states at the Fermi level: 6.24 states/eV/cell.


A relaxed structure of BaCa3Zn, computed with GGA-PBEsol.

CIF file:
```
data_BaCa3Zn
_chemical_formula_sum 'Ba1 Ca3 Zn1'
_space_group_name_H-M_alt 'P m -3 m'
_space_group_IT_number 221
_space_group_name_Hall '-P 4 2 3'
_cell_length_a 5.8514
_cell_length_b 5.8514
_cell_length_c 5.8514
_cell_angle_alpha 90.00
_cell_angle_beta 90.00
_cell_angle_gamma 90.00
loop_
_atom_site_label
_atom_site_fract_x
_atom_site_fract_y
_atom_site_fract_z
_atom_site_occupancy
Ba1 0.0000 0.0000 0.0000 1
Ca1 0.0000 0.5000 0.5000 1
Zn1 0.5000 0.5000 0.5000 1
```

Calculated values
The value obtained for the density is 2.68 g/cm³. For the spin magnetization, the calculation gives 0.00 Bohr magnetons per cell. The formation energy comes out at -0.02 eV/atom. As for the density of states at the Fermi level: 6.56 states/eV/cell.


A relaxed structure of BaCaZn2, computed with GGA-PBEsol.

CIF file:
```
data_BaCaZn2
_chemical_formula_sum 'Ba2 Ca2 Zn4'
_space_group_name_H-M_alt 'I m m 2'
_space_group_IT_number 44
_cell_length_a 3.6758
_cell_length_b 5.3990
_cell_length_c 10.8784
_cell_angle_alpha 90.00
_cell_angle_beta 90.00
_cell_angle_gamma 90.00
loop_
_space_group_symop_operation_xyz
'x,y,z'
'-x,-y,z'
'-x,y,z'
'x,-y,z'
'x+1/2,y+1/2,z+1/2'
'-x+1/2,-y+1/2,z+1/2'
'-x+1/2,y+1/2,z+1/2'
'x+1/2,-y+1/2,z+1/2'
loop_
_atom_site_label
_atom_site_fract_x
_atom_site_fract_y
_atom_site_fract_z
_atom_site_occupancy
Ba1 0.0000 0.0000 0.0000 1
Ca1 0.0000 0.5000 0.8049 1
Zn1 0.0000 0.0000 0.5752 1
Zn2 0.0000 0.5000 0.2361 1
```

Calculated values
The value obtained for the density is 4.74 g/cm³. For the spin magnetization, the calculation gives 0.00 Bohr magnetons per cell. The calculation puts the energy above the most stable polymorph in this dataset at 68 meV/atom. The formation energy comes out at -0.09 eV/atom. As for the density of states at the Fermi level: 6.31 states/eV/cell.


A relaxed structure of BaCaZn2, computed with GGA-PBEsol.

CIF file:
```
data_BaCaZn2
_chemical_formula_sum 'Ba1 Ca1 Zn2'
_space_group_name_H-M_alt 'P 4/m m m'
_space_group_IT_number 123
_space_group_name_Hall '-P 4 2'
_cell_length_a 5.4262
_cell_length_b 5.4262
_cell_length_c 3.7720
_cell_angle_alpha 90.00
_cell_angle_beta 90.00
_cell_angle_gamma 90.00
loop_
_atom_site_label
_atom_site_fract_x
_atom_site_fract_y
_atom_site_fract_z
_atom_site_occupancy
Ba1 0.0000 0.0000 0.0000 1
Ca1 0.5000 0.5000 0.0000 1
Zn1 0.0000 0.5000 0.5000 1
```

Calculated values
The value obtained for the density is 4.61 g/cm³. For the spin magnetization, the calculation gives 0.00 Bohr magnetons per cell. The calculation puts the energy above the most stable polymorph in this dataset at 45 meV/atom. The formation energy comes out at -0.11 eV/atom. As for the density of states at the Fermi level: 3.02 states/eV/cell.


A relaxed structure of Ba2CaZn2, computed with GGA-PBEsol.

CIF file:
```
data_Ba2CaZn2
_chemical_formula_sum 'Ba4 Ca2 Zn4'
_space_group_name_H-M_alt 'P 4/m b m'
_space_group_IT_number 127
_space_group_name_Hall '-P 4 2ab'
_cell_length_a 8.9148
_cell_length_b 8.9148
_cell_length_c 4.3632
_cell_angle_alpha 90.00
_cell_angle_beta 90.00
_cell_angle_gamma 90.00
loop_
_atom_site_label
_atom_site_fract_x
_atom_site_fract_y
_atom_site_fract_z
_atom_site_occupancy
Ba1 0.1558 0.3442 0.0000 1
Ca1 0.0000 0.0000 0.5000 1
Zn1 0.1352 0.6352 0.5000 1
```

Calculated values
The value obtained for the density is 4.27 g/cm³. For the spin magnetization, the calculation gives 0.00 Bohr magnetons per cell. The formation energy comes out at -0.07 eV/atom. As for the density of states at the Fermi level: 11.16 states/eV/cell.


A relaxed structure of BaCaZr2, computed with GGA-PBEsol.

CIF file:
```
data_BaCaZr2
_chemical_formula_sum 'Ba1 Ca1 Zr2'
_space_group_name_H-M_alt 'P 4/m m m'
_space_group_IT_number 123
_space_group_name_Hall '-P 4 2'
_cell_length_a 3.9030
_cell_length_b 3.9030
_cell_length_c 8.0155
_cell_angle_alpha 90.00
_cell_angle_beta 90.00
_cell_angle_gamma 90.00
loop_
_atom_site_label
_atom_site_fract_x
_atom_site_fract_y
_atom_site_fract_z
_atom_site_occupancy
Ba1 0.0000 0.0000 0.0000 1
Ca1 0.0000 0.0000 0.5000 1
Zr1 0.5000 0.5000 0.3049 1
```

Calculated values
The value obtained for the density is 4.89 g/cm³. For the spin magnetization, the calculation gives 0.01 Bohr magnetons per cell. The calculation puts the energy above the most stable polymorph in this dataset at 181 meV/atom. The formation energy comes out at 0.73 eV/atom. As for the density of states at the Fermi level: 7.13 states/eV/cell.